[1]
# PBE CaSm3Ga2, optimized geometry
# Density = 6.2 g cm⁻³
# Energy relative to the elements = -0.3393 eV/atom
# Total moment = 0.0 μB/f.u.
# Total DFT energy (no corrections) = -4.041 eV per atom
# Offset from the most stable computed form = 60 meV per atom
data_CaSm3Ga2
_space_group_name_H-M_alt 'P 1'
_space_group_IT_number 1
_cell_length_a 8.742
_cell_length_b 8.742
_cell_length_c 7.854
_cell_angle_alpha 96.59
_cell_angle_beta 96.59
_cell_angle_gamma 34.75
loop_
_space_group_symop_operation_xyz
'x,y,z'
loop_
_atom_site_label
_atom_site_type_symbol
_atom_site_fract_x
_atom_site_fract_y
_atom_site_fract_z
Ca1 Ca 0.162 0.162 0.281
Ca2 Ca 0.838 0.838 0.719
Sm1 Sm 0.052 0.052 0.812
Sm2 Sm 0.324 0.324 0.006
Sm3 Sm 0.376 0.376 0.461
Sm4 Sm 0.624 0.624 0.539
Sm5 Sm 0.676 0.676 0.994
Sm6 Sm 0.948 0.948 0.188
Ga1 Ga 0.214 0.214 0.682
Ga2 Ga 0.471 0.471 0.829
Ga3 Ga 0.529 0.529 0.171
Ga4 Ga 0.786 0.786 0.318

[2]
# PBE Ca4SmGa5, optimized geometry
# Density = 4.4 g cm⁻³
# Energy relative to the elements = -0.4655 eV/atom
# Total moment = 0.0 μB/f.u.
# Total DFT energy (no corrections) = -3.251 eV per atom
data_Ca4SmGa5
_space_group_name_H-M_alt 'P 1'
_space_group_IT_number 1
_cell_length_a 3.681
_cell_length_b 3.681
_cell_length_c 18.190
_cell_angle_alpha 90.00
_cell_angle_beta 90.00
_cell_angle_gamma 90.00
loop_
_space_group_symop_operation_xyz
'x,y,z'
loop_
_atom_site_label
_atom_site_type_symbol
_atom_site_fract_x
_atom_site_fract_y
_atom_site_fract_z
Ca1 Ca 0.000 0.000 0.100
Ca2 Ca 0.000 0.000 0.299
Ca3 Ca 0.000 0.000 0.701
Ca4 Ca 0.000 0.000 0.900
Sm1 Sm 0.000 0.000 0.500
Ga1 Ga 0.500 0.500 0.000
Ga2 Ga 0.500 0.500 0.199
Ga3 Ga 0.500 0.500 0.401
Ga4 Ga 0.500 0.500 0.599
Ga5 Ga 0.500 0.500 0.801

[3]
# PBE Ca2SmGa3, optimized geometry
# Density = 5.0 g cm⁻³
# Energy relative to the elements = -0.4863 eV/atom
# Total moment = 0.0 μB/f.u.
# Total DFT energy (no corrections) = -3.453 eV per atom
data_Ca2SmGa3
_space_group_name_H-M_alt 'P 1'
_space_group_IT_number 1
_cell_length_a 8.181
_cell_length_b 8.181
_cell_length_c 7.356
_cell_angle_alpha 90.00
_cell_angle_beta 90.00
_cell_angle_gamma 143.24
loop_
_space_group_symop_operation_xyz
'x,y,z'
loop_
_atom_site_label
_atom_site_type_symbol
_atom_site_fract_x
_atom_site_fract_y
_atom_site_fract_z
Ca1 Ca 0.000 0.000 0.000
Ca2 Ca 0.000 0.000 0.500
Ca3 Ca 0.333 0.667 0.000
Ca4 Ca 0.667 0.333 0.000
Sm1 Sm 0.339 0.661 0.500
Sm2 Sm 0.661 0.339 0.500
Ga1 Ga 0.170 0.830 0.253
Ga2 Ga 0.170 0.830 0.747
Ga3 Ga 0.500 0.500 0.245
Ga4 Ga 0.500 0.500 0.755
Ga5 Ga 0.830 0.170 0.253
Ga6 Ga 0.830 0.170 0.747

[4]
# PBE CaSm2Ga2, optimized geometry
# Density = 5.8 g cm⁻³
# Energy relative to the elements = -0.4617 eV/atom
# Total moment = 0.0 μB/f.u.
# Total DFT energy (no corrections) = -3.960 eV per atom
data_CaSm2Ga2
_space_group_name_H-M_alt 'P 1'
_space_group_IT_number 1
_cell_length_a 7.972
_cell_length_b 7.972
_cell_length_c 4.298
_cell_angle_alpha 90.00
_cell_angle_beta 90.00
_cell_angle_gamma 90.00
loop_
_space_group_symop_operation_xyz
'x,y,z'
loop_
_atom_site_label
_atom_site_type_symbol
_atom_site_fract_x
_atom_site_fract_y
_atom_site_fract_z
Ca1 Ca 0.000 0.000 0.000
Ca2 Ca 0.500 0.500 0.000
Sm1 Sm 0.176 0.324 0.500
Sm2 Sm 0.324 0.824 0.500
Sm3 Sm 0.676 0.176 0.500
Sm4 Sm 0.824 0.676 0.500
Ga1 Ga 0.116 0.616 0.000
Ga2 Ga 0.384 0.116 0.000
Ga3 Ga 0.616 0.884 0.000
Ga4 Ga 0.884 0.384 0.000

[5]
# PBE CaSm3Ga2, optimized geometry
# Density = 6.4 g cm⁻³
# Energy relative to the elements = -0.3996 eV/atom
# Total moment = 0.0 μB/f.u.
# Total DFT energy (no corrections) = -4.102 eV per atom
# Offset from the most stable computed form = 0 meV per atom
data_CaSm3Ga2
_space_group_name_H-M_alt 'P 1'
_space_group_IT_number 1
_cell_length_a 5.196
_cell_length_b 9.339
_cell_length_c 6.763
_cell_angle_alpha 90.00
_cell_angle_beta 90.00
_cell_angle_gamma 90.00
loop_
_space_group_symop_operation_xyz
'x,y,z'
loop_
_atom_site_label
_atom_site_type_symbol
_atom_site_fract_x
_atom_site_fract_y
_atom_site_fract_z
Ca1 Ca 0.000 0.042 0.000
Ca2 Ca 0.000 0.958 0.500
Sm1 Sm 0.000 0.326 0.683
Sm2 Sm 0.000 0.674 0.183
Sm3 Sm 0.500 0.168 0.289
Sm4 Sm 0.500 0.460 0.977
Sm5 Sm 0.500 0.540 0.477
Sm6 Sm 0.500 0.832 0.789
Ga1 Ga 0.000 0.346 0.216
Ga2 Ga 0.000 0.654 0.716
Ga3 Ga 0.500 0.159 0.754
Ga4 Ga 0.500 0.841 0.254

[6]
# PBE CaSm4Ga4, optimized geometry
# Density = 5.8 g cm⁻³
# Energy relative to the elements = -0.3497 eV/atom
# Total moment = 0.0 μB/f.u.
# Total DFT energy (no corrections) = -4.015 eV per atom
data_CaSm4Ga4
_space_group_name_H-M_alt 'P 1'
_space_group_IT_number 1
_cell_length_a 9.272
_cell_length_b 9.272
_cell_length_c 6.108
_cell_angle_alpha 90.00
_cell_angle_beta 90.00
_cell_angle_gamma 90.00
loop_
_space_group_symop_operation_xyz
'x,y,z'
loop_
_atom_site_label
_atom_site_type_symbol
_atom_site_fract_x
_atom_site_fract_y
_atom_site_fract_z
Ca1 Ca 0.250 0.250 0.250
Ca2 Ca 0.750 0.750 0.750
Sm1 Sm 0.073 0.657 0.123
Sm2 Sm 0.157 0.927 0.623
Sm3 Sm 0.343 0.573 0.623
Sm4 Sm 0.427 0.843 0.123
Sm5 Sm 0.573 0.157 0.877
Sm6 Sm 0.657 0.427 0.377
Sm7 Sm 0.843 0.073 0.377
Sm8 Sm 0.927 0.343 0.877
Ga1 Ga 0.024 0.612 0.618
Ga2 Ga 0.112 0.976 0.118
Ga3 Ga 0.388 0.524 0.118
Ga4 Ga 0.476 0.888 0.618
Ga5 Ga 0.524 0.112 0.382
Ga6 Ga 0.612 0.476 0.882
Ga7 Ga 0.888 0.024 0.882
Ga8 Ga 0.976 0.388 0.382

[7]
# PBE Ca2SmGa, optimized geometry
# Density = 4.1 g cm⁻³
# Energy relative to the elements = -0.1602 eV/atom
# Total moment = 0.0 μB/f.u.
# Total DFT energy (no corrections) = -3.097 eV per atom
# Offset from the most stable computed form = 3 meV per atom
data_Ca2SmGa
_space_group_name_H-M_alt 'P 1'
_space_group_IT_number 1
_cell_length_a 3.533
_cell_length_b 3.533
_cell_length_c 9.844
_cell_angle_alpha 90.00
_cell_angle_beta 90.00
_cell_angle_gamma 90.00
loop_
_space_group_symop_operation_xyz
'x,y,z'
loop_
_atom_site_label
_atom_site_type_symbol
_atom_site_fract_x
_atom_site_fract_y
_atom_site_fract_z
Ca1 Ca 0.000 0.000 0.199
Ca2 Ca 0.000 0.000 0.801
Sm1 Sm 0.500 0.500 0.500
Ga1 Ga 0.500 0.500 0.000

[8]
# PBE CaSmGa6, optimized geometry
# Density = 6.1 g cm⁻³
# Energy relative to the elements = -0.4309 eV/atom
# Total moment = 0.0 μB/f.u.
# Total DFT energy (no corrections) = -3.541 eV per atom
data_CaSmGa6
_space_group_name_H-M_alt 'P 1'
_space_group_IT_number 1
_cell_length_a 4.430
_cell_length_b 6.050
_cell_length_c 6.161
_cell_angle_alpha 90.00
_cell_angle_beta 90.00
_cell_angle_gamma 90.00
loop_
_space_group_symop_operation_xyz
'x,y,z'
loop_
_atom_site_label
_atom_site_type_symbol
_atom_site_fract_x
_atom_site_fract_y
_atom_site_fract_z
Ca1 Ca 0.000 0.000 0.000
Sm1 Sm 0.500 0.500 0.212
Ga1 Ga 0.000 0.253 0.467
Ga2 Ga 0.000 0.500 0.854
Ga3 Ga 0.000 0.747 0.467
Ga4 Ga 0.500 0.000 0.357
Ga5 Ga 0.500 0.247 0.744
Ga6 Ga 0.500 0.753 0.744

[9]
# PBE Ca2SmGa, optimized geometry
# Density = 3.6 g cm⁻³
# Energy relative to the elements = 0.1942 eV/atom
# Total moment = 0.0 μB/f.u.
# Total DFT energy (no corrections) = -2.743 eV per atom
# Offset from the most stable computed form = 357 meV per atom
data_Ca2SmGa
_space_group_name_H-M_alt 'P 1'
_space_group_IT_number 1
_cell_length_a 12.528
_cell_length_b 12.528
_cell_length_c 12.528
_cell_angle_alpha 16.61
_cell_angle_beta 16.61
_cell_angle_gamma 16.61
loop_
_space_group_symop_operation_xyz
'x,y,z'
loop_
_atom_site_label
_atom_site_type_symbol
_atom_site_fract_x
_atom_site_fract_y
_atom_site_fract_z
Ca1 Ca 0.083 0.083 0.083
Ca2 Ca 0.917 0.917 0.917
Sm1 Sm 0.500 0.500 0.500
Ga1 Ga 0.000 0.000 0.000

[10]
# PBE CaSmGaSn, optimized geometry
# Density = 5.9 g cm⁻³
# Energy relative to the elements = -0.5299 eV/atom
# Total moment = 0.0 μB/f.u.
# Total DFT energy (no corrections) = -3.968 eV per atom
data_CaSmGaSn
_space_group_name_H-M_alt 'P 1'
_space_group_IT_number 1
_cell_length_a 5.320
_cell_length_b 5.320
_cell_length_c 5.320
_cell_angle_alpha 60.00
_cell_angle_beta 60.00
_cell_angle_gamma 60.00
loop_
_space_group_symop_operation_xyz
'x,y,z'
loop_
_atom_site_label
_atom_site_type_symbol
_atom_site_fract_x
_atom_site_fract_y
_atom_site_fract_z
Ca1 Ca 0.000 0.000 0.000
Sm1 Sm 0.500 0.500 0.500
Ga1 Ga 0.250 0.250 0.250
Sn1 Sn 0.750 0.750 0.750

> Which value of total DFT energy (no corrections) does entry 9 give?

-2.743 eV per atom

> The lowest total DFT energy (no corrections) belongs to which entry?

number 5